Entry 1:
VASP calculation (SCAN) on Sr3CuTe at its PBEsol-relaxed geometry.

The formation energy from raw total energies is -2.01 eV/f.u.

It has space group Pm-3m (No. 221), with a = 5.706 Å, b = 5.706 Å, c = 5.706 Å, α = 90.00°, β = 90.00° and γ = 90.00°. Symmetry generates all atoms from Sr at (0.000, 0.000, 0.500), Cu at (0.000, 0.000, 0.000) and Te at (0.500, 0.500, 0.500).

Entry 2:
VASP calculation (SCAN) on Sr2Cu2Te at its PBEsol-relaxed geometry.

The formation energy from raw total energies is 0.38 eV/f.u.

It has space group P4/mmm (No. 123), with a = 6.120 Å, b = 6.120 Å, c = 4.753 Å, α = 90.00°, β = 90.00° and γ = 90.00°. Symmetry generates all atoms from Sr at (0.000, 0.500, 0.000), Cu at (0.000, 0.000, 0.500), Cu at (0.500, 0.500, 0.500) and Te at (0.000, 0.000, 0.000).